Record 1
A plane-wave DFT calculation with PBE was carried out for crystalline Li3Te2 at its relaxed geometry.

Calculated values
The total magnetic moment is 0.0 μB per cell. The calculation puts the uncorrected formation energy at -0.854 eV/atom.

Lattice parameters (Å, degrees): 7.6959 7.6959 6.4228 53.19 53.19 60.00
Positions (direct):
Te 0.8772 0.8772 0.3683
Te 0.3772 0.3772 0.8683
Te 0.1228 0.1228 0.6317
Te 0.6228 0.6228 0.1317
Li 0.0410 0.7500 0.7500
Li 0.7500 0.4590 0.7500
Li 0.4590 0.0410 0.7500
Li 0.2500 0.5410 0.2500
Li 0.5410 0.9590 0.2500
Li 0.9590 0.2500 0.2500



Record 2
A plane-wave DFT calculation with PBE was carried out for crystalline NaGa2Au4 at its relaxed geometry.

Calculated values
The calculation puts the energy above the most stable polymorph in this dataset at 0.000 eV per atom. The total magnetic moment is 0.0 μB per cell. As for the formation energy: -0.2839 eV per atom.

Lattice parameters (Å, degrees): 7.5253 8.3393 9.3989 64.75 90.00 90.00
Positions (direct):
Na 0.0448 0.2138 0.3231
Na 0.5448 0.7862 0.1769
Na 0.9552 0.7862 0.6769
Na 0.4552 0.2138 0.8231
Ga 0.1711 0.5134 0.5865
Ga 0.6711 0.4866 0.9135
Ga 0.8289 0.4866 0.4135
Ga 0.3289 0.5134 0.0865
Ga 0.8704 0.9986 0.8861
Ga 0.3704 0.0014 0.6139
Ga 0.1296 0.0014 0.1139
Ga 0.6296 0.9986 0.3861
Au 0.1011 0.1674 0.6581
Au 0.6011 0.8326 0.8419
Au 0.8989 0.8326 0.3419
Au 0.3989 0.1674 0.1581
Au 0.2171 0.8515 0.9249
Au 0.7171 0.1485 0.5751
Au 0.7829 0.1485 0.0751
Au 0.2829 0.8515 0.4249
Au 0.3944 0.3648 0.4609
Au 0.8944 0.6352 0.0391
Au 0.6056 0.6352 0.5391
Au 0.1056 0.3648 0.9609
Au 0.8500 0.3762 0.7336
Au 0.3500 0.6238 0.7664
Au 0.1500 0.6238 0.2664
Au 0.6500 0.3762 0.2336



Record 3
A plane-wave DFT calculation with PBE was carried out for crystalline Y2ErHg at its relaxed geometry.

Calculated values
The calculation puts the energy above the most stable polymorph in this dataset at 0.313 eV per atom. The total magnetic moment is 1.5 μB per cell. As for the formation energy: 0.0827 eV per atom.

Lattice parameters (Å, degrees): 3.5174 3.5174 11.7717 81.41 81.41 60.00
Each line ends with the local moment (μB).
Positions (direct):
Y 0.0970 0.0970 0.7089  0.22
Y 0.9030 0.9030 0.2911  0.22
Hg 0.5000 0.5000 0.5000  0.01
Er 0.0000 0.0000 0.0000  0.45



Record 4
A plane-wave DFT calculation with PBE was carried out for crystalline HfMn2V2 at its relaxed geometry.

Calculated values
The calculation puts the energy above the most stable polymorph in this dataset at 0.097 eV per atom. The total magnetic moment is 0.3 μB per cell. As for the formation energy: 0.1245 eV per atom.

Lattice parameters (Å, degrees): 3.8932 3.8932 10.1228 101.09 101.09 90.00
Each line ends with the local moment (μB).
Positions (direct):
Hf 0.6274 0.6274 0.2549  -0.02
Hf 0.3726 0.3726 0.7451  -0.02
Mn 0.7500 0.2500 0.5000  0.15
Mn 0.9311 0.9311 0.8621  0.21
Mn 0.0689 0.0689 0.1379  0.21
Mn 0.2500 0.7500 0.5000  0.15
V 0.0000 0.5000 0.0000  -0.10
V 0.1862 0.1862 0.3725  -0.10
V 0.5000 0.0000 0.0000  -0.10
V 0.8138 0.8138 0.6275  -0.10



Record 5
A plane-wave DFT calculation with PBE was carried out for crystalline Ca2LaZn3 at its relaxed geometry.

Calculated values
The calculation puts the energy above the most stable polymorph in this dataset at 0.004 eV per atom. The total magnetic moment is 0.2 μB per cell. As for the formation energy: -0.2622 eV per atom.

Lattice parameters (Å, degrees): 3.7008 3.7008 11.1910 90.00 90.00 90.00
Each line ends with the local moment (μB).
Positions (direct):
Ca 0.5000 0.5000 0.8367  0.00
Ca 0.5000 0.5000 0.1633  0.00
La 0.5000 0.5000 0.5000  0.09
Zn 0.0000 0.0000 0.0000  0.00
Zn 0.0000 0.0000 0.6709  0.01
Zn 0.0000 0.0000 0.3291  0.01



Record 6
A plane-wave DFT calculation with PBE was carried out for crystalline Ac2Dy3Y3 at its relaxed geometry.

Calculated values
The total magnetic moment is 0.0 μB per cell. As for the formation energy: 0.1747 eV per atom.

Lattice parameters (Å, degrees): 3.7382 8.9958 17.6639 90.00 90.00 101.99
Positions (direct):
Ac 0.7480 0.4959 0.6041
Ac 0.2520 0.5041 0.1041
Ac 0.7480 0.4959 0.8959
Ac 0.2520 0.5041 0.3959
Dy 0.9545 0.9091 0.1180
Dy 0.0455 0.0909 0.6180
Dy 0.9545 0.9091 0.3820
Dy 0.0455 0.0909 0.8820
Dy 0.5869 0.1739 0.2500
Dy 0.4131 0.8261 0.7500
Y 0.5912 0.1823 0.0412
Y 0.4088 0.8177 0.5412
Y 0.5912 0.1823 0.4588
Y 0.4088 0.8177 0.9588
Y 0.3811 0.7623 0.2500
Y 0.6189 0.2377 0.7500